(1)
DFT (PBE+U) results for a relaxed MgVIn2F6 crystal.

Properties
Space-group type: Immm (71)
VASP energy (eV/atom): -5.0782
Crystal system: orthorhombic
Size of the total moment (Bohr magnetons per cell): 3.00

abc: 5.932 5.932 5.932
angles: 120.13 119.98 89.90
Sites, in units of the cell vectors:
Mg 0.000 0.000 0.000
V 0.500 0.500 0.000
In 0.249 0.749 0.500
In 0.751 0.251 0.500
F 0.243 0.243 0.000
F 0.243 0.244 0.487
F 0.243 0.756 0.999
F 0.757 0.244 0.001
F 0.757 0.756 0.513
F 0.757 0.757 0.000

(2)
DFT (PBE+U) results for a relaxed MgVInF6 crystal.

Properties
Space-group type: C2 (5)
VASP energy (eV/atom): -5.3886
Crystal system: monoclinic
Size of the total moment (Bohr magnetons per cell): 1.99

abc: 5.388 5.388 5.945
angles: 90.22 90.22 119.35
Sites, in units of the cell vectors:
Mg 0.000 0.000 0.000
V 0.335 0.665 0.000
In 0.672 0.328 0.500
F 0.047 0.339 0.181
F 0.052 0.712 0.817
F 0.284 0.337 0.817
F 0.288 0.948 0.183
F 0.661 0.953 0.819
F 0.663 0.716 0.183

What is the formula in the first record?
MgVIn2F6